# 1
A geometry-optimized Ac2PmHo3 structure, computed with GGA-PBE.

Cell: 16.274 7.557 7.467 Å, 90.00 103.26 90.00°
Space group C2/c (No. 15)
One atom of each set of equivalent atoms:
Ac 0.183 0.004 0.092 x8
Pm 0.000 0.210 0.750 x4
Ho 0.000 0.214 0.250 x4
Ho 0.115 0.499 0.558 x8


# 2
A geometry-optimized Fe2TcNi structure, computed with GGA-PBE.

Cell: 2.577 3.606 5.104 Å, 90.00 90.00 90.00°
Space group Pmm2 (No. 25)
One atom of each set of equivalent atoms:
Fe 0.000 0.000 0.000 x1
Fe 0.500 0.500 0.252 x1
Tc 0.500 0.500 0.762 x1
Ni 0.000 0.000 0.491 x1


# 3
A geometry-optimized CsK2CdO structure, computed with GGA-PBE.

Cell: 5.510 5.510 6.063 Å, 90.00 90.00 90.00°
Space group P4/mmm (No. 123)
One atom of each set of equivalent atoms:
Cs 0.000 0.000 0.000 x1
K 0.000 0.500 0.500 x2
Cd 0.500 0.500 0.000 x1
O 0.000 0.000 0.500 x1

Values from the calculation:
raw formation energy	-0.5177	eV per atom


# 4
A geometry-optimized LuGe5 structure, computed with GGA-PBE.

Cell: 4.188 13.926 4.049 Å, 90.00 90.00 90.00°
Space group Cmmm (No. 65)
One atom of each set of equivalent atoms:
Lu 0.000 0.000 0.000 x2
Ge 0.000 0.175 0.500 x4
Ge 0.000 0.342 0.000 x4
Ge 0.000 0.500 0.500 x2


# 5
A geometry-optimized Mg2InPt3 structure, computed with GGA-PBE.

Cell: 4.5449 4.5449 5.6002 Å, 90.00 90.00 120.00°
Space group P-3m1 (No. 164)
One atom of each set of equivalent atoms:
Mg 0.3333 0.6667 0.1653 x2
In 0.0000 0.0000 0.5000 x1
Pt 0.0000 0.0000 0.0000 x1
Pt 0.3333 0.6667 0.6786 x2

Values from the calculation:
ΔE to the lowest computed polymorph	32	meV per atom


# 6
A geometry-optimized Te2As structure, computed with GGA-PBE.

Cell: 4.0749 4.0749 11.8460 Å, 90.00 90.00 120.00°
Space group P6_3/mmc (No. 194)
One atom of each set of equivalent atoms:
Te 0.3333 0.6667 0.0935 x4
As 0.0000 0.0000 0.2500 x2

Values from the calculation:
ΔE to the lowest computed polymorph	115	meV per atom
raw formation energy	0.1548	eV per atom


# 7
A geometry-optimized BaSe2Cl structure, computed with GGA-PBE.

Cell: 4.701 4.364 6.106 Å, 90.00 90.06 90.00°
Space group Pm (No. 6)
One atom of each set of equivalent atoms:
Ba 0.000 0.000 0.000 x1
Se 0.716 0.000 0.500 x1
Se 0.981 0.500 0.500 x1
Cl 0.496 0.500 0.000 x1

Values from the calculation:
ΔE to the lowest computed polymorph	0	meV per atom
raw formation energy	-1.3527	eV per atom


# 8
A geometry-optimized AcPm3YTm structure, computed with GGA-PBE.

Cell: 8.188 5.208 10.391 Å, 90.00 108.65 90.00°
Space group P2_1/m (No. 11)
One atom of each set of equivalent atoms:
Ac 0.171 0.250 0.294 x2
Pm 0.172 0.250 0.792 x2
Pm 0.172 0.750 0.040 x2
Pm 0.173 0.750 0.547 x2
Y 0.496 0.750 0.876 x2
Tm 0.497 0.250 0.628 x2


no.,D(E_F) (states/eV/cell),electronic total energy (eV per atom),calculated volume (Å³/cell)
1,31.5,-4.310,893.79
2,4.2,-8.188,47.43
3,3.1,-2.302,184.08
4,5.5,-4.681,236.11
5,2.2,-4.732,100.18
6,3.9,-3.490,170.35
7,1.1,-4.037,125.27
8,19.9,-4.840,419.82